Record 1
Below is Ba2Li16Zn after structural relaxation, with properties calculated at the PBE-GGA level.

Cell lengths 7.8156, 7.8156, 7.8156 Å; angles 83.50, 83.50, 83.50 degrees
With the nearest neighbours (Å) after each atom.
Fractional positions:
Ba  0.0000  0.0000  0.0000  18 Li 3.74-4.08, 1 Zn 3.74
Ba  0.3042  0.3042  0.3042  19 Li 3.81-4.13
Li  0.1423  0.6582  0.6582  8 Li 2.85-2.99, 1 Zn 3.09
Li  0.3152  0.3152  0.7893  9 Li 2.99-3.27
Li  0.3152  0.7893  0.3152  9 Li 2.99-3.27
Li  0.3789  0.6555  0.9291  7 Li 2.85-3.16
Li  0.3789  0.9291  0.6555  7 Li 2.85-3.16
Li  0.5250  0.9867  0.9867  4 Li 2.85-3.04, 1 Zn 3.04
Li  0.5660  0.5660  0.5660  1 Zn 2.76
Li  0.6555  0.3789  0.9291  7 Li 2.85-3.16
Li  0.6555  0.9291  0.3789  7 Li 2.85-3.16
Li  0.6582  0.1423  0.6582  8 Li 2.85-2.99, 1 Zn 3.09
Li  0.6582  0.6582  0.1423  8 Li 2.85-2.99, 1 Zn 3.09
Li  0.7893  0.3152  0.3152  9 Li 2.99-3.27
Li  0.9291  0.3789  0.6555  7 Li 2.85-3.16
Li  0.9291  0.6555  0.3789  7 Li 2.85-3.16
Li  0.9867  0.5250  0.9867  4 Li 2.85-3.04, 1 Zn 3.04
Li  0.9867  0.9867  0.5250  4 Li 2.85-3.04, 1 Zn 3.04
Zn  0.7502  0.7502  0.7502  7 Li 2.76-3.09

Results
The calculation puts the total energy at -35.6 eV/cell. As for the space group: R3m. The density of states at the Fermi level comes out at 0.530 states/eV/atom. For the formation energy, the calculation gives 0.010 eV per atom.

---

Record 2
Below is BaLiZn2 after structural relaxation, with properties calculated at the PBE-GGA level.

Cell lengths 5.3409, 5.3409, 5.3409 Å; angles 60.00, 60.00, 60.00 degrees
With the nearest neighbours (Å) after each atom.
Fractional positions:
Ba  0.0000  0.0000  0.0000  8 Zn 3.27
Li  0.5000  0.5000  0.5000  8 Zn 3.27
Zn  0.2500  0.2500  0.2500  4 Ba 3.27, 4 Li 3.27
Zn  0.7500  0.7500  0.7500  4 Ba 3.27, 4 Li 3.27

Results
The calculation puts the total energy at -6.5 eV/cell. As for the space group: Fm-3m. The density of states at the Fermi level comes out at 1.675 states/eV/atom. For the formation energy, the calculation gives -0.039 eV per atom.

---

Record 3
Below is Ba2LiZn after structural relaxation, with properties calculated at the PBE-GGA level.

Cell lengths 6.7656, 6.7656, 5.9580 Å; angles 110.23, 110.23, 35.29 degrees
With the nearest neighbours (Å) after each atom.
Fractional positions:
Ba  0.0000  0.0000  0.0000  1 Li 3.52, 4 Zn 3.65-3.66, 2 Ba 3.78-3.81
Ba  0.1961  0.1961  0.6509  3 Zn 3.53-3.90, 2 Li 3.65, 2 Ba 3.78-3.81
Li  0.7971  0.7971  0.2662  2 Zn 2.84
Zn  0.4565  0.4565  0.4657  2 Li 2.84

Results
The calculation puts the total energy at -7.1 eV/cell. As for the space group: Cm. The density of states at the Fermi level comes out at 1.080 states/eV/atom. For the formation energy, the calculation gives -0.018 eV per atom.

---

| no. | total magnetic moment (μB/cell) |
| --- | --- |
| 1 | 0.00 |
| 2 | 0.00 |
| 3 | 0.00 |